(1)
The following is a DFT calculation (GGA-PBE) of an optimized crystal structure of Al2PbAu.

The space group is Cm (No. 8) and the conventional cell measures 8.8088, 3.4598 and 5.9066 Å, with angles of 90.00, 102.95 and 90.00 degrees. The distinct sites, in fractional coordinates, are Al at (0.0000, 0.0000, 0.0000), Al at (0.2461, 0.5000, 0.2244), Pb at (0.0121, 0.5000, 0.5264) and Au at (0.2723, 0.0000, 0.8850).

Its total energy is -14.54 eV per formula unit. Its formation energy is -0.019 eV/atom.

---

(2)
The following is a DFT calculation (GGA-PBE) of an optimized crystal structure of La3IrSCl.

The space group is P2_1/m (No. 11) and the conventional cell measures 7.5164, 4.1866 and 10.3691 Å, with angles of 90.00, 92.12 and 90.00 degrees. The distinct sites, in fractional coordinates, are La at (0.0776, 0.2500, 0.1889), La at (0.2360, 0.7500, 0.5010), La at (0.4060, 0.2500, 0.8142), Ir at (0.0858, 0.2500, 0.6719), S at (0.4218, 0.2500, 0.3326) and Cl at (0.2547, 0.7500, 0.9995).

The formation energy without anion corrections is -34.71 kcal/mol of atoms. Its total energy is -38.65 eV per formula unit.

---

(3)
The following is a DFT calculation (GGA-PBE) of an optimized crystal structure of Nd6GaP2Se3.

The space group is C2/m (No. 12) and the conventional cell measures 18.5283, 4.1786 and 8.5651 Å, with angles of 90.00, 103.97 and 90.00 degrees. The distinct sites, in fractional coordinates, are Nd at (0.0035, 0.0000, 0.2515), Nd at (0.1659, 0.5000, 0.0942), Nd at (0.1712, 0.5000, 0.5723), Ga at (0.0000, 0.5000, 0.0000), P at (0.1676, 0.0000, 0.3348), Se at (0.0000, 0.5000, 0.5000) and Se at (0.1672, 0.0000, 0.8313).

The formation energy without anion corrections is -36.24 kcal/mol of atoms. Its total energy is -71.77 eV per formula unit.

---

(4)
The following is a DFT calculation (GGA-PBE) of an optimized crystal structure of CoHCS.

The space group is P1 (No. 1) and the conventional cell measures 3.8336, 4.1206 and 4.3070 Å, with angles of 78.10, 73.38 and 68.99 degrees. The distinct sites, in fractional coordinates, are Co at (0.0000, 0.0000, 0.0000), H at (0.6120, 0.1244, 0.8344), C at (0.5142, 0.8845, 0.9756) and S at (0.8804, 0.5252, 0.0465).

Its total energy is -21.78 eV per formula unit. The calculation puts the energy relative to the lowest polymorph listed for this composition at 17.4 kJ/mol of atoms.

---

(5)
The following is a DFT calculation (GGA-PBE) of an optimized crystal structure of NdDy2Ni6.

The space group is P6/mmm (No. 191) and the conventional cell measures 6.9759, 6.9759 and 3.7634 Å, with angles of 90.00, 90.00 and 120.00 degrees. The distinct sites, in fractional coordinates, are Nd at (0.0000, 0.0000, 0.0000), Dy at (0.3333, 0.6667, 0.0000) and Ni at (0.0000, 0.3354, 0.5000).

Its total energy is -51.93 eV per formula unit. Its formation energy is -0.363 eV/atom.

---

(6)
The following is a DFT calculation (GGA-PBE) of an optimized crystal structure of CdInFe2.

The space group is Immm (No. 71) and the conventional cell measures 4.0179, 4.0320 and 8.1182 Å, with angles of 90.00, 90.00 and 90.00 degrees. The distinct sites, in fractional coordinates, are Cd at (0.0000, 0.0000, 0.0000), In at (0.0000, 0.0000, 0.5000) and Fe at (0.0000, 0.5000, 0.2500).

Its total energy is -19.25 eV per formula unit. Its formation energy is 0.332 eV/atom.

---

(7)
The following is a DFT calculation (GGA-PBE) of an optimized crystal structure of SrGa3Ir3.

The space group is Pm-3n (No. 223) and the conventional cell measures 6.8311, 6.8311 and 6.8311 Å, with angles of 90.00, 90.00 and 90.00 degrees. The distinct sites, in fractional coordinates, are Sr at (0.0000, 0.0000, 0.0000), Ga at (0.0000, 0.2500, 0.5000) and Ir at (0.0000, 0.5000, 0.2500).

Its total energy is -37.98 eV per formula unit. Its formation energy is -0.090 eV/atom. The calculation puts the energy relative to the lowest polymorph listed for this composition at 10.0 kJ/mol of atoms.

---

(8)
The following is a DFT calculation (GGA-PBE) of an optimized crystal structure of Ga2SiSn.

The space group is Fm-3m (No. 225) and the conventional cell measures 6.8820, 6.8820 and 6.8820 Å, with angles of 90.00, 90.00 and 90.00 degrees. The distinct sites, in fractional coordinates, are Ga at (0.2500, 0.2500, 0.2500), Si at (0.0000, 0.0000, 0.0000) and Sn at (0.0000, 0.0000, 0.5000).

The formation energy without anion corrections is 6.21 kcal/mol of atoms. Its total energy is -14.40 eV per formula unit. The calculation puts the energy relative to the lowest polymorph listed for this composition at 6.0 kJ/mol of atoms.

---

(9)
The following is a DFT calculation (GGA-PBE) of an optimized crystal structure of Ta2BeInTe.

The space group is P4/mmm (No. 123) and the conventional cell measures 5.0563, 5.0563 and 5.5338 Å, with angles of 90.00, 90.00 and 90.00 degrees. The distinct sites, in fractional coordinates, are Ta at (0.0000, 0.5000, 0.0000), Be at (0.0000, 0.0000, 0.5000), In at (0.5000, 0.5000, 0.5000) and Te at (0.5000, 0.5000, 0.0000).

The formation energy without anion corrections is 47.76 kcal/mol of atoms. Its total energy is -22.96 eV per formula unit.

---

(10)
The following is a DFT calculation (GGA-PBE) of an optimized crystal structure of Sr2LiCd3Ge4.

The space group is P-4m2 (No. 115) and the conventional cell measures 4.5140, 4.5140 and 11.7663 Å, with angles of 90.00, 90.00 and 90.00 degrees. The distinct sites, in fractional coordinates, are Sr at (0.0000, 0.5000, 0.2392), Li at (0.5000, 0.5000, 0.0000), Cd at (0.0000, 0.0000, 0.0000), Cd at (0.0000, 0.5000, 0.6419), Ge at (0.0000, 0.0000, 0.5000), Ge at (0.0000, 0.5000, 0.8665) and Ge at (0.5000, 0.5000, 0.5000).

Its total energy is -29.75 eV per formula unit. Its formation energy is -0.326 eV/atom.

---

(11)
The following is a DFT calculation (GGA-PBE) of an optimized crystal structure of TbAl2SiPd4.

The space group is R-3m (No. 166, hexagonal axes) and the conventional cell measures 4.2923, 4.2923 and 25.4956 Å, with angles of 90.00, 90.00 and 120.00 degrees. The distinct sites, in fractional coordinates, are Tb at (0.0000, 0.0000, 0.0000), Al at (0.0000, 0.0000, 0.2449), Si at (0.0000, 0.0000, 0.5000), Pd at (0.0000, 0.0000, 0.1365) and Pd at (0.0000, 0.0000, 0.4047).

The formation energy without anion corrections is -17.78 kcal/mol of atoms. Its total energy is -44.48 eV per formula unit.

---

(12)
The following is a DFT calculation (GGA-PBE) of an optimized crystal structure of RbFe2As.

The space group is I4_1/amd (No. 141, origin choice 2) and the conventional cell measures 4.8206, 4.8206 and 16.0471 Å, with angles of 90.00, 90.00 and 90.00 degrees. The distinct sites, in fractional coordinates, are Rb at (0.0000, 0.2500, 0.3750), Fe at (0.0000, 0.0000, 0.0000) and As at (0.0000, 0.2500, 0.8750).

Its total energy is -19.32 eV per formula unit. Its formation energy is 0.806 eV/atom.